Material: MgTl2WO6
Method: DFT, PBE+U
State: relaxed

Calculated values
DOS at the Fermi energy: 7.0 states/eV per cell
E_tot: -5.8624 eV per atom
SG: No. 14

a = 5.6704 Å, b = 5.7174 Å, c = 8.0371 Å
α = 90.00°, β = 89.95°, γ = 90.00°
Fractional coordinates of all 20 atoms:
Tl1 0.0037 0.9797 0.2505
Tl2 0.5037 0.5203 0.7505
Tl3 0.4963 0.4797 0.2495
Tl4 0.9963 0.0203 0.7495
O1 0.7030 0.2740 0.5368
O2 0.7970 0.7740 0.9632
O3 0.2030 0.2260 0.0368
O4 0.2970 0.7260 0.4632
O5 0.2264 0.2051 0.4650
O6 0.9292 0.5122 0.2391
O7 0.2736 0.7051 0.0350
O8 0.4292 0.9878 0.7391
O9 0.0708 0.4878 0.7609
O10 0.7736 0.7949 0.5350
O11 0.5708 0.0122 0.2609
O12 0.7264 0.2949 0.9650
Mg1 0.5000 0.0000 0.0000
Mg2 0.0000 0.5000 0.5000
W1 0.0000 0.5000 0.0000
W2 0.5000 0.0000 0.5000